# Lu2PuTh | the Alexandria database | PBE-GGA | optimized geometry
# - Energy above the most stable polymorph in this dataset: 0.105 eV/atom
# - Density of states at the Fermi level: 11.79 states/eV/cell
# - Total magnetic moment: 5.95 μB/cell
# - ΔH_f (0 K): 199 meV/atom
# - E: -30.00 eV/cell
data_Lu2PuTh
_chemical_formula_sum 'Lu2 Pu1 Th1'
_cell_length_a 5.5301
_cell_length_b 5.5301
_cell_length_c 5.5301
_cell_angle_alpha 60.00
_cell_angle_beta 60.00
_cell_angle_gamma 60.00
_symmetry_space_group_name_H-M 'P 1'
_symmetry_Int_Tables_number 1
_symmetry_space_group_name_Hall 'P 1'
loop_
_atom_site_label
_atom_site_type_symbol
_atom_site_fract_x
_atom_site_fract_y
_atom_site_fract_z
Th1 Th 0.0000 0.0000 0.0000
Lu1 Lu 0.2500 0.2500 0.2500
Lu2 Lu 0.7500 0.7500 0.7500
Pu1 Pu 0.5000 0.5000 0.5000